No. 1
TaSe2Cl | Alexandria | PBE-GGA | relaxed; crystal system = tetragonal; ΔE to the lowest computed polymorph = 1042 meV/atom; total DFT energy (no corrections) = -4.928 eV per atom
1.0
-0.620 2.858 -3.640
-4.625 -0.540 0.343
2.474 1.418 3.698
Cl Se Ta
1 2 1
Cartesian
-0.384 2.718 -0.795
0.000 0.000 0.000
-2.387 1.019 1.196
-2.622 1.159 -1.648

---

No. 2
Ta2SeCl | Alexandria | PBE-GGA | relaxed; crystal system = monoclinic; ΔE to the lowest computed polymorph = 75 meV/atom; total DFT energy (no corrections) = -7.757 eV per atom
1.0
-0.192 2.237 2.267
-3.125 0.954 -1.207
-5.124 -5.073 4.572
Cl Se Ta
1 1 2
Cartesian
-3.384 -1.845 1.534
-6.401 -2.641 4.309
-0.155 0.010 -0.023
-2.627 0.535 1.495

---

No. 3
TaSe2Cl | Alexandria | PBE-GGA | relaxed; crystal system = tetragonal; ΔE to the lowest computed polymorph = 571 meV/atom; total DFT energy (no corrections) = -5.399 eV per atom
1.0
-2.163 6.468 0.748
-6.357 -2.268 1.233
-3.220 1.875 5.939
Cl Se Ta
2 4 2
Cartesian
-4.260 2.100 0.990
-6.919 0.854 4.081
-3.119 4.729 2.164
-4.881 -0.641 2.291
-5.118 3.157 5.102
-10.362 4.906 6.283
0.000 0.000 0.000
-4.821 5.222 3.839

---

No. 4
TaSe2Cl | Alexandria | PBE-GGA | relaxed; crystal system = trigonal; ΔE to the lowest computed polymorph = 282 meV/atom; total DFT energy (no corrections) = -5.688 eV per atom
1.0
2.055 0.000 8.434
-1.027 1.779 8.434
-1.027 -1.779 8.434
Cl Se Ta
1 2 1
Cartesian
0.000 0.000 0.000
0.000 0.000 22.704
0.000 0.000 2.596
0.000 0.000 12.650

---

For the records above, the corresponding size of the total moment values read 0.000 0.000 0.000 0.000 μB per atom.
For the records above, the corresponding formation energy without anion corrections values read 239 -498 -232 -521 meV per atom.
For the records above, the corresponding mass density values read 8.65 8.49 5.22 6.72 g cm⁻³.